The following is a DFT calculation (PBE) of MnInCu after structural relaxation.

```
6
Lattice="4.446 0.000 0.028 0.000 3.339 0.000 -1.170 0.000 6.581" Properties=species:S:1:pos:R:3 pbc="T T T"
Cu 0.402 0.835 3.147
Cu 2.874 2.504 3.462
In 2.450 0.835 1.349
In 0.826 2.504 5.260
Mn 3.076 0.835 5.514
Mn 0.201 2.504 1.095
```

## Properties
- Formation energy from the elements: 0.195 eV/atom
- N(E_F): 2.7 states/eV per cell